This record from Alexandria describes ScGaAgSn after structural relaxation. The functional is PBE-GGA.

Structure (extended XYZ):
```
4
Lattice="4.2004 0.0000 0.0000 0.0000 4.3552 0.0000 0.0000 0.0000 4.3409" Properties=species:S:1:pos:R:3 pbc="T T T"
Sn 0.0000 0.0000 0.0000
Ag 2.1002 2.1776 0.0000
Sc 2.1002 0.0000 2.1705
Ga 0.0000 2.1776 2.1705
```

Calculated values
D(E_F)	1.91	states/eV per cell
crystal system	orthorhombic
formation energy	-1.51	eV per formula unit
symmetry	Pmmm (47)
ΔE to the lowest computed polymorph	0.00	eV per formula unit